Entry 1:
A relaxed structure of Be2Hg4H, computed with GGA-PBE.

Calculated values
The density of states at the Fermi level is 1.409 states/eV per cell. The raw total energy is -1.294 eV per atom. Its calculated density is 10.15 g cm⁻³. The calculation puts the volume at 19.19 Å³ per atom.

a b c (Å): 4.979 4.979 6.461
angles (deg): 67.34 67.34 90.00
Positions (direct):
Hg: 0.500 0.000 0.000
Hg: 0.194 0.194 0.613
Hg: 0.806 0.806 0.387
Hg: 0.000 0.500 0.000
H: 0.000 0.000 0.000
Be: 0.407 0.407 0.186
Be: 0.593 0.593 0.814



Entry 2:
A relaxed structure of Tl2InRe, computed with GGA-PBE.

Calculated values
The formation enthalpy at 0 K is 0.614 eV per atom. The calculation puts the energy above the most stable polymorph in this dataset at 0.22 eV per formula unit. The density of states at the Fermi level is 2.659 states/eV per cell. The raw total energy is -4.366 eV per atom. Its calculated density is 11.80 g cm⁻³. The calculation puts the volume at 24.98 Å³ per atom.

a b c (Å): 7.528 7.528 4.884
angles (deg): 71.06 71.06 22.49
Positions (direct):
Tl: 0.062 0.062 0.938
Tl: 0.250 0.250 0.250
In: 0.432 0.432 0.568
Re: 0.756 0.756 0.744



Entry 3:
A relaxed structure of Sc4GaHg5, computed with GGA-PBE.

Calculated values
The formation enthalpy at 0 K is -0.380 eV per atom. The density of states at the Fermi level is 6.518 states/eV per cell. The raw total energy is -3.366 eV per atom. Its calculated density is 9.72 g cm⁻³. The calculation puts the volume at 21.39 Å³ per atom.

a b c (Å): 4.900 6.131 7.801
angles (deg): 105.17 108.31 90.00
Positions (direct):
Hg: 0.500 0.500 0.000
Hg: 0.290 0.177 0.579
Hg: 0.710 0.823 0.421
Hg: 0.111 0.406 0.222
Hg: 0.889 0.594 0.778
Ga: 0.500 0.000 0.000
Sc: 0.687 0.296 0.375
Sc: 0.089 0.874 0.178
Sc: 0.911 0.126 0.822
Sc: 0.313 0.704 0.625



Entry 4:
A relaxed structure of Nd3Y2Ho6Zr, computed with GGA-PBE.

Calculated values
The formation enthalpy at 0 K is 0.046 eV per atom. The density of states at the Fermi level is 15.469 states/eV per cell. The raw total energy is -5.225 eV per atom. Its calculated density is 7.48 g cm⁻³. The calculation puts the volume at 31.28 Å³ per atom.

a b c (Å): 6.136 6.136 11.686
angles (deg): 95.00 95.00 119.94
Positions (direct):
Nd: 0.500 0.500 0.500
Nd: 0.166 0.834 0.500
Nd: 0.834 0.166 0.500
Ho: 0.406 0.080 0.242
Ho: 0.920 0.594 0.758
Ho: 0.755 0.755 0.242
Ho: 0.080 0.406 0.242
Ho: 0.594 0.920 0.758
Ho: 0.245 0.245 0.758
Zr: 0.000 0.000 0.000
Y: 0.333 0.667 0.000
Y: 0.667 0.333 0.000



Entry 5:
A relaxed structure of SrPm3Pt2, computed with GGA-PBE.

Calculated values
The formation enthalpy at 0 K is -0.638 eV per atom. The density of states at the Fermi level is 11.269 states/eV per cell. The raw total energy is -5.308 eV per atom. Its calculated density is 8.46 g cm⁻³. The calculation puts the volume at 29.85 Å³ per atom.

a b c (Å): 5.145 9.377 8.790
angles (deg): 117.36 90.00 105.92
Positions (direct):
Pm: 0.602 0.205 0.691
Pm: 0.050 0.101 0.358
Pm: 0.307 0.615 0.605
Pm: 0.693 0.385 0.395
Pm: 0.398 0.795 0.309
Pm: 0.950 0.899 0.642
Pt: 0.816 0.632 0.280
Pt: 0.515 0.030 0.165
Pt: 0.485 0.970 0.835
Pt: 0.184 0.368 0.720
Sr: 0.161 0.321 0.058
Sr: 0.839 0.679 0.942



Entry 6:
A relaxed structure of Pa2AsAu, computed with GGA-PBE.

Calculated values
The formation enthalpy at 0 K is -0.518 eV per atom. The calculation puts the energy above the most stable polymorph in this dataset at 0.00 eV per formula unit. The density of states at the Fermi level is 6.468 states/eV per cell. The raw total energy is -7.248 eV per atom. Its calculated density is 13.78 g cm⁻³. The calculation puts the volume at 22.11 Å³ per atom.

a b c (Å): 3.374 3.374 7.769
angles (deg): 90.00 90.00 90.00
Positions (direct):
Pa: 0.000 0.000 0.767
Pa: 0.000 0.000 0.233
As: 0.500 0.500 0.000
Au: 0.500 0.500 0.500



Entry 7:
A relaxed structure of BaCr2Ni, computed with GGA-PBE.

Calculated values
The formation enthalpy at 0 K is 0.938 eV per atom. The calculation puts the energy above the most stable polymorph in this dataset at 1.94 eV per formula unit. The density of states at the Fermi level is 7.434 states/eV per cell. The raw total energy is -5.799 eV per atom. Its calculated density is 4.58 g cm⁻³. The calculation puts the volume at 27.21 Å³ per atom.

a b c (Å): 5.289 5.289 8.635
angles (deg): 72.17 72.17 90.00
Last column: magnetic moment on the atom in μB.
Positions (direct):
Cr: 0.375 0.125 0.250  3.03
Cr: 0.375 0.625 0.750  3.21
Cr: 0.375 0.625 0.250  3.05
Cr: 0.875 0.625 0.750  3.30
Ni: 0.250 0.750 0.500  -0.04
Ni: 0.500 0.500 0.000  -0.04
Ba: 0.750 0.250 0.500  0.04
Ba: 0.000 0.000 0.000  0.04



Entry 8:
A relaxed structure of LiMo2Se, computed with GGA-PBE.

Calculated values
The density of states at the Fermi level is 2.334 states/eV per cell. Its formation energy from raw total energies is 0.186 eV per atom. The raw total energy is -6.579 eV per atom. Its calculated density is 7.75 g cm⁻³. The calculation puts the volume at 14.88 Å³ per atom.

a b c (Å): 4.387 4.387 4.387
angles (deg): 120.24 120.24 89.59
Positions (direct):
Se: 0.500 0.500 0.000
Mo: 0.000 0.000 0.000
Mo: 0.250 0.750 0.500
Li: 0.750 0.250 0.500



Entry 9:
A relaxed structure of In2SbW, computed with GGA-PBE.

Calculated values
The density of states at the Fermi level is 3.264 states/eV per cell. Its formation energy from raw total energies is 0.597 eV per atom. The raw total energy is -5.042 eV per atom. Its calculated density is 9.93 g cm⁻³. The calculation puts the volume at 22.37 Å³ per atom.

a b c (Å): 3.035 3.035 9.717
angles (deg): 90.00 90.00 90.00
Positions (direct):
In: 0.000 0.000 0.536
In: 0.000 0.000 0.964
W: 0.500 0.500 0.750
Sb: 0.500 0.500 0.250



Entry 10:
A relaxed structure of Ag6PbSe4, computed with GGA-PBE.

Calculated values
The density of states at the Fermi level is 3.271 states/eV per cell. Its formation energy from raw total energies is -0.095 eV per atom. The raw total energy is -3.254 eV per atom. Its calculated density is 7.54 g cm⁻³. The calculation puts the volume at 23.44 Å³ per atom.

a b c (Å): 7.161 7.161 7.161
angles (deg): 89.22 120.45 120.45
Positions (direct):
Se: 0.473 0.875 0.875
Se: 0.527 0.402 0.402
Se: 0.000 0.598 0.125
Se: 0.000 0.125 0.598
Ag: 0.000 0.478 0.774
Ag: 0.500 0.500 0.000
Ag: 0.704 0.226 0.226
Ag: 0.000 0.774 0.478
Ag: 0.500 0.000 0.500
Ag: 0.296 0.522 0.522
Pb: 0.000 0.000 0.000



Entry 11:
A relaxed structure of Dy4Se5S, computed with GGA-PBE.

Calculated values
The density of states at the Fermi level is 0.466 states/eV per cell. Its formation energy from raw total energies is -1.836 eV per atom. The raw total energy is -5.832 eV per atom. Its calculated density is 6.26 g cm⁻³. The calculation puts the volume at 28.58 Å³ per atom.

a b c (Å): 4.074 8.180 9.129
angles (deg): 105.06 102.89 90.00
Positions (direct):
Se: 0.162 0.855 0.324
Se: 0.838 0.664 0.676
Se: 0.838 0.145 0.676
Se: 0.162 0.336 0.324
Se: 0.500 0.500 0.000
Dy: 0.003 0.256 0.005
Dy: 0.324 0.886 0.648
Dy: 0.997 0.744 0.995
Dy: 0.676 0.114 0.352
S: 0.500 0.000 0.000



Entry 12:
A relaxed structure of Ho3B2PRh9, computed with GGA-PBE.

Calculated values
The formation enthalpy at 0 K is -0.828 eV per atom. The density of states at the Fermi level is 10.227 states/eV per cell. The raw total energy is -7.406 eV per atom. Its calculated density is 10.47 g cm⁻³. The calculation puts the volume at 15.58 Å³ per atom.

a b c (Å): 6.040 6.040 7.396
angles (deg): 90.00 90.00 120.00
Positions (direct):
B: 0.667 0.333 0.848
B: 0.333 0.667 0.152
Rh: 0.347 0.173 0.675
Rh: 0.500 0.000 0.000
Rh: 0.827 0.653 0.675
Rh: 0.173 0.347 0.325
Rh: 0.827 0.173 0.675
Rh: 0.000 0.500 0.000
Rh: 0.653 0.827 0.325
Rh: 0.173 0.827 0.325
Rh: 0.500 0.500 0.000
Ho: 0.333 0.667 0.670
Ho: 0.000 0.000 0.000
Ho: 0.667 0.333 0.330
P: 0.000 0.000 0.500